Density functional theory data (PBE+U) for CuNi2GeO6 after structural relaxation.

Results
* raw total energy: -0.195 Ha/atom

abc: 4.904 5.034 5.229
angles: 63.27 88.96 62.45
Space group P1 (No. 1)
Unique sites:
Cu (0.000, 0.000, 0.000) [1 per cell]
Ni (0.196, 0.595, 0.597) [1 per cell]
Ni (0.706, 0.582, 0.106) [1 per cell]
Ge (0.496, 0.995, 0.499) [1 per cell]
O (0.118, 0.093, 0.294) [1 per cell]
O (0.288, 0.101, 0.795) [1 per cell]
O (0.433, 0.432, 0.334) [1 per cell]
O (0.584, 0.533, 0.776) [1 per cell]
O (0.792, 0.805, 0.301) [1 per cell]
O (0.901, 0.804, 0.803) [1 per cell]